Nb2InPdBr: relaxed, PBE.

Results
**Symmetry**: P4/mmm
**Magnetization**: 0.000 μB/atom
**Formation energy (no corrections)**: 4.14 eV per formula unit
**N(E_F)**: 2.54 states/eV per cell

Cell: 4.803 4.704 4.803 Å, 90.00 90.00 90.00°
Element x y z (fractional)
Pd  0.000  0.500  0.000
In  0.500  0.500  0.500
Br  0.000  0.000  0.000
Nb  0.000  0.000  0.500
Nb  0.500  0.000  0.000